Record 1
The following is a PBEsol calculation of a relaxed LaSc2Au crystal, from Alexandria via LeMat-Bulk.

- space-group type = No. 216
- formation enthalpy at 0 K (meV per atom) = -166
- calculated total energy (eV/atom) = -5.79
- V (Å³/atom) = 23.34

Cell lengths 5.092, 5.092, 5.092 Å; angles 60.00, 60.00, 60.00 degrees
Positions (direct):
1 Au 0.500 0.500 0.500
2 La 0.250 0.250 0.250
3 Sc 0.000 0.000 0.000
4 Sc 0.750 0.750 0.750

***

Record 2
The following is a PBEsol calculation of a relaxed LaSc3Au crystal, from Alexandria via LeMat-Bulk.

- space-group type = No. 221
- formation enthalpy at 0 K (meV per atom) = -86
- calculated total energy (eV/atom) = -5.90
- V (Å³/atom) = 27.87

Cell lengths 5.184, 5.184, 5.184 Å; angles 90.00, 90.00, 90.00 degrees
Positions (direct):
1 Sc 0.000 0.500 0.000
2 Sc 0.000 0.000 0.500
3 Sc 0.500 0.000 0.000
4 Au 0.000 0.000 0.000
5 La 0.500 0.500 0.500

***

Record 3
The following is a PBEsol calculation of a relaxed La2ScAu2 crystal, from Alexandria via LeMat-Bulk.

- space-group type = No. 127
- formation enthalpy at 0 K (meV per atom) = -612
- calculated total energy (eV/atom) = -5.64
- V (Å³/atom) = 25.75

Cell lengths 3.954, 8.070, 8.070 Å; angles 90.00, 90.00, 90.00 degrees
Positions (direct):
1 Sc 0.000 0.000 0.000
2 Sc 0.000 0.500 0.500
3 Au 0.000 0.369 0.869
4 Au 0.000 0.869 0.631
5 Au 0.000 0.631 0.131
6 Au 0.000 0.131 0.369
7 La 0.500 0.171 0.671
8 La 0.500 0.671 0.829
9 La 0.500 0.829 0.329
10 La 0.500 0.329 0.171

***

Record 4
The following is a PBEsol calculation of a relaxed LaScAu2 crystal, from Alexandria via LeMat-Bulk.

- space-group type = No. 123
- formation enthalpy at 0 K (meV per atom) = -692
- calculated total energy (eV/atom) = -5.64
- V (Å³/atom) = 22.31

Cell lengths 3.558, 5.007, 5.007 Å; angles 89.96, 90.00, 90.00 degrees
Positions (direct):
1 Au 0.000 0.500 0.000
2 Au 0.000 0.000 0.500
3 La 0.500 0.000 0.000
4 Sc 0.500 0.500 0.500

***

Record 5
The following is a PBEsol calculation of a relaxed LaScAu2 crystal, from Alexandria via LeMat-Bulk.

- space-group type = No. 6
- formation enthalpy at 0 K (meV per atom) = -729
- calculated total energy (eV/atom) = -5.68
- V (Å³/atom) = 23.07

Cell lengths 3.697, 4.600, 5.723 Å; angles 90.00, 108.55, 90.00 degrees
Positions (direct):
1 Sc 0.240 0.500 0.853
2 Au 0.787 0.000 0.947
3 Au 0.958 0.500 0.292
4 La 0.515 0.000 0.409

***

Record 6
The following is a PBEsol calculation of a relaxed LaScAu2 crystal, from Alexandria via LeMat-Bulk.

- space-group type = No. 216
- formation enthalpy at 0 K (meV per atom) = -575
- calculated total energy (eV/atom) = -5.52
- V (Å³/atom) = 20.18

Cell lengths 4.851, 4.851, 4.851 Å; angles 120.00, 120.00, 90.00 degrees
Positions (direct):
1 Au 0.000 0.000 0.000
2 Au 0.750 0.250 0.500
3 La 0.500 0.500 0.000
4 Sc 0.250 0.750 0.500

***

Record 7
The following is a PBEsol calculation of a relaxed LaSc2Au crystal, from Alexandria via LeMat-Bulk.

- space-group type = No. 44
- formation enthalpy at 0 K (meV per atom) = -316
- calculated total energy (eV/atom) = -5.94
- V (Å³/atom) = 23.54

Cell lengths 3.602, 4.982, 6.081 Å; angles 114.18, 107.23, 90.00 degrees
Positions (direct):
1 Au 0.517 0.517 0.033
2 La 0.774 0.274 0.548
3 Sc 0.996 0.996 0.993
4 Sc 0.213 0.713 0.426

***

Record 8
The following is a PBEsol calculation of a relaxed LaSc2Au crystal, from Alexandria via LeMat-Bulk.

- space-group type = No. 47
- formation enthalpy at 0 K (meV per atom) = -243
- calculated total energy (eV/atom) = -5.86
- V (Å³/atom) = 23.20

Cell lengths 3.659, 4.917, 5.158 Å; angles 90.00, 90.00, 90.00 degrees
Positions (direct):
1 Au 0.500 0.500 0.000
2 La 0.000 0.500 0.500
3 Sc 0.000 0.000 0.000
4 Sc 0.500 0.000 0.500

***

Record 9
The following is a PBEsol calculation of a relaxed La2ScAu crystal, from Alexandria via LeMat-Bulk.

- space-group type = No. 71
- formation enthalpy at 0 K (meV per atom) = -243
- calculated total energy (eV/atom) = -5.55
- V (Å³/atom) = 25.94

Cell lengths 3.794, 5.229, 6.147 Å; angles 115.17, 107.98, 90.00 degrees
Positions (direct):
1 Au 0.000 0.500 0.000
2 La 0.729 0.729 0.457
3 La 0.271 0.271 0.543
4 Sc 0.500 0.000 0.000

***

Record 10
The following is a PBEsol calculation of a relaxed La2ScAu crystal, from Alexandria via LeMat-Bulk.

- space-group type = No. 44
- formation enthalpy at 0 K (meV per atom) = -361
- calculated total energy (eV/atom) = -5.67
- V (Å³/atom) = 26.92

Cell lengths 3.630, 5.360, 6.410 Å; angles 114.71, 106.45, 90.00 degrees
Positions (direct):
1 Sc 0.543 0.043 0.085
2 Au 0.229 0.229 0.457
3 La 0.972 0.472 0.944
4 La 0.757 0.757 0.513

***

Record 11
The following is a PBEsol calculation of a relaxed La2AuSe crystal, from Alexandria via LeMat-Bulk.

- space-group type = No. 71
- calculated total energy (eV/atom) = -5.73
- V (Å³/atom) = 25.19

Cell lengths 4.819, 5.284, 5.284 Å; angles 62.24, 62.87, 62.87 degrees
Positions (direct):
1 Au 0.000 0.500 0.500
2 La 0.248 0.752 0.752
3 La 0.752 0.248 0.248
4 Se 0.500 0.000 0.000

***

Record 12
The following is a PBEsol calculation of a relaxed LaAuSe2 crystal, from Alexandria via LeMat-Bulk.

- space-group type = No. 10
- calculated total energy (eV/atom) = -5.31
- V (Å³/atom) = 21.49

Cell lengths 3.820, 4.764, 6.070 Å; angles 90.00, 128.90, 90.00 degrees
Positions (direct):
1 Au 0.500 0.500 0.000
2 La 0.000 0.000 0.500
3 Se 0.000 0.000 0.000
4 Se 0.500 0.500 0.500